! LaHf2TcRh | Alexandria via LeMat-Bulk | PBE | relaxed; values from VASP
! - V (Å³/cell) = 129.09
! - formation energy from the elements (kJ/mol of formula units) = 256
! - raw total energy (Ry/atom) = -0.58656
&SYSTEM
  ibrav = 0, nat = 5, ntyp = 4
/
ATOMIC_SPECIES
La 138.91 La.upf
Hf 178.49 Hf.upf
Tc 98.00 Tc.upf
Rh 102.91 Rh.upf
ATOMIC_POSITIONS crystal
La 0.000 0.500 0.000
Hf 0.000 0.000 0.500
Hf 0.500 0.000 0.000
Tc 0.000 0.000 0.000
Rh 0.500 0.500 0.500
CELL_PARAMETERS angstrom
-1.296 -4.113 -2.436
5.077 -1.275 -0.547
-0.163 -2.484 4.282